[1]
Compound: Pm3Sm6Ho2Sc
Source: the Alexandria database
Functional: PBE
Structure: optimized geometry Values from VASP.

Output
ΔH_f (0 K)   2.7 kJ/mol of atoms
Magnetic moment   0.00 μB per cell

The structure in Quantum ESPRESSO input format:
```
&SYSTEM
  ibrav = 0, nat = 12, ntyp = 4
/
ATOMIC_SPECIES
Pm 145.00 Pm.upf
Sm 150.36 Sm.upf
Ho 164.93 Ho.upf
Sc 44.96 Sc.upf
CELL_PARAMETERS angstrom
3.112 -5.390 0.000
3.112 5.390 0.000
-2.072 0.000 11.671
ATOMIC_POSITIONS angstrom
Pm 0.000 0.000 0.000
Pm 3.112 1.796 0.000
Pm 3.112 -1.796 0.000
Sm 1.047 1.781 2.990
Sm 0.019 0.000 8.685
Sm 1.047 -1.781 2.990
Sm 3.105 1.781 8.681
Sm 4.133 0.000 2.985
Sm 3.105 -1.781 8.681
Ho 2.076 3.595 5.835
Ho 2.076 -3.595 5.835
Sc 2.076 0.000 5.835
```

***

[2]
Compound: PmSm6Ho3Sc2
Source: the Alexandria database
Functional: PBE
Structure: optimized geometry Values from VASP.

Output
ΔH_f (0 K)   3.5 kJ/mol of atoms
Magnetic moment   0.00 μB per cell

The structure in Quantum ESPRESSO input format:
```
&SYSTEM
  ibrav = 0, nat = 12, ntyp = 4
/
ATOMIC_SPECIES
Pm 145.00 Pm.upf
Sm 150.36 Sm.upf
Ho 164.93 Ho.upf
Sc 44.96 Sc.upf
CELL_PARAMETERS angstrom
3.084 -5.333 0.000
3.084 5.333 0.000
-2.035 0.000 11.459
ATOMIC_POSITIONS angstrom
Pm 0.000 0.000 0.000
Sm 1.052 1.793 2.819
Sm 0.027 0.000 8.636
Sm 1.052 -1.793 2.819
Sm 3.080 1.793 8.640
Sm 4.105 0.000 2.823
Sm 3.080 -1.793 8.640
Ho 2.066 3.546 5.729
Ho 2.066 0.000 5.729
Ho 2.066 -3.546 5.729
Sc 3.084 1.763 0.000
Sc 3.084 -1.763 0.000
```

***

[3]
Compound: PmSmHo2Sc
Source: the Alexandria database
Functional: PBE
Structure: optimized geometry Values from VASP.

Output
ΔH_f (0 K)   33.8 kJ/mol of atoms
Magnetic moment   0.00 μB per cell

The structure in Quantum ESPRESSO input format:
```
&SYSTEM
  ibrav = 0, nat = 10, ntyp = 4
/
ATOMIC_SPECIES
Pm 145.00 Pm.upf
Sm 150.36 Sm.upf
Ho 164.93 Ho.upf
Sc 44.96 Sc.upf
CELL_PARAMETERS angstrom
3.186 -7.977 0.000
3.186 7.977 0.000
0.000 0.000 6.370
ATOMIC_POSITIONS angstrom
Pm 3.186 5.393 4.778
Pm 3.186 -5.393 1.593
Sm 3.186 3.989 1.593
Sm 3.186 -3.989 4.778
Ho 1.600 0.000 0.000
Ho 1.600 0.000 3.185
Ho 4.772 0.000 0.000
Ho 4.772 0.000 3.185
Sc 3.186 2.429 4.778
Sc 3.186 -2.429 1.593
```

***

[4]
Compound: PmSm3HoSc
Source: the Alexandria database
Functional: PBE
Structure: optimized geometry Values from VASP.

Output
ΔH_f (0 K)   3.5 kJ/mol of atoms
Magnetic moment   0.00 μB per cell

The structure in Quantum ESPRESSO input format:
```
&SYSTEM
  ibrav = 0, nat = 12, ntyp = 4
/
ATOMIC_SPECIES
Pm 145.00 Pm.upf
Sm 150.36 Sm.upf
Ho 164.93 Ho.upf
Sc 44.96 Sc.upf
CELL_PARAMETERS angstrom
2.500 -7.539 0.000
2.500 7.539 0.000
0.000 0.000 10.094
ATOMIC_POSITIONS angstrom
Pm 2.500 7.485 7.570
Pm 2.500 -7.485 2.523
Sm 2.500 5.026 5.061
Sm 2.500 5.026 10.080
Sm 2.500 2.549 7.570
Sm 2.500 -2.549 2.523
Sm 2.500 -5.026 0.014
Sm 2.500 -5.026 5.033
Ho 2.500 0.000 0.000
Ho 2.500 0.000 5.047
Sc 2.500 2.516 2.523
Sc 2.500 -2.516 7.570
```

***

[5]
Compound: Pm2Sm3Ho6Sc
Source: the Alexandria database
Functional: PBE
Structure: optimized geometry Values from VASP.

Output
ΔH_f (0 K)   2.4 kJ/mol of atoms
Magnetic moment   0.00 μB per cell

The structure in Quantum ESPRESSO input format:
```
&SYSTEM
  ibrav = 0, nat = 12, ntyp = 4
/
ATOMIC_SPECIES
Pm 145.00 Pm.upf
Sm 150.36 Sm.upf
Ho 164.93 Ho.upf
Sc 44.96 Sc.upf
CELL_PARAMETERS angstrom
3.074 -5.323 0.000
3.074 5.323 0.000
-2.043 0.000 11.577
ATOMIC_POSITIONS angstrom
Pm 3.074 3.553 0.000
Pm 3.074 -3.553 0.000
Sm -1.022 0.000 5.788
Sm 2.053 1.773 5.788
Sm 2.053 -1.773 5.788
Ho 0.016 1.759 8.710
Ho 1.041 0.000 2.872
Ho 0.016 -1.759 8.710
Ho 4.089 1.759 2.867
Ho 3.064 0.000 8.704
Ho 4.089 -1.759 2.867
Sc 3.074 0.000 0.000
```

***

[6]
Compound: Pm4Sm2HoSc
Source: the Alexandria database
Functional: PBE
Structure: optimized geometry Values from VASP.

Output
ΔH_f (0 K)   2.8 kJ/mol of atoms
Magnetic moment   0.00 μB per cell

The structure in Quantum ESPRESSO input format:
```
&SYSTEM
  ibrav = 0, nat = 8, ntyp = 4
/
ATOMIC_SPECIES
Pm 145.00 Pm.upf
Sm 150.36 Sm.upf
Ho 164.93 Ho.upf
Sc 44.96 Sc.upf
CELL_PARAMETERS angstrom
5.073 0.000 0.000
0.000 5.090 0.000
0.000 0.000 10.046
ATOMIC_POSITIONS angstrom
Pm 0.000 0.000 2.462
Pm 0.000 0.000 7.584
Pm 2.537 2.545 2.471
Pm 2.537 2.545 7.575
Sm 0.000 2.545 0.000
Sm 2.537 0.000 5.023
Ho 0.000 2.545 5.023
Sc 2.537 0.000 0.000
```

***

[7]
Compound: PmSmHoSc
Source: the Alexandria database
Functional: PBE
Structure: optimized geometry Values from VASP.

Output
Relative energy among the computed polymorphs   0 meV per atom
ΔH_f (0 K)   9.4 kJ/mol of atoms
Magnetic moment   0.00 μB per cell

The structure in Quantum ESPRESSO input format:
```
&SYSTEM
  ibrav = 0, nat = 8, ntyp = 4
/
ATOMIC_SPECIES
Pm 145.00 Pm.upf
Sm 150.36 Sm.upf
Ho 164.93 Ho.upf
Sc 44.96 Sc.upf
CELL_PARAMETERS angstrom
12.190 0.000 0.000
0.000 5.668 0.000
-1.172 0.000 3.599
ATOMIC_POSITIONS angstrom
Pm 0.000 0.000 0.000
Pm 6.095 2.834 0.000
Sm 2.501 2.834 0.793
Sm 8.596 0.000 0.793
Ho 2.355 0.000 2.739
Ho 8.450 2.834 2.739
Sc 5.449 0.000 1.764
Sc 11.544 2.834 1.764
```

***

[8]
Compound: Pm3SmHoSc
Source: the Alexandria database
Functional: PBE
Structure: optimized geometry Values from VASP.

Output
ΔH_f (0 K)   4.0 kJ/mol of atoms
Magnetic moment   0.00 μB per cell

The structure in Quantum ESPRESSO input format:
```
&SYSTEM
  ibrav = 0, nat = 12, ntyp = 4
/
ATOMIC_SPECIES
Pm 145.00 Pm.upf
Sm 150.36 Sm.upf
Ho 164.93 Ho.upf
Sc 44.96 Sc.upf
CELL_PARAMETERS angstrom
7.933 0.000 0.000
0.000 5.064 0.000
-3.229 0.000 9.564
ATOMIC_POSITIONS angstrom
Pm 1.209 1.266 0.431
Pm -1.184 3.798 7.556
Pm -0.347 1.266 5.179
Pm 5.050 3.798 4.386
Pm 5.888 1.266 2.008
Pm 3.495 3.798 9.133
Sm 0.435 3.798 2.838
Sm 4.269 1.266 6.726
Ho 3.545 3.798 1.222
Ho 1.159 1.266 8.342
Sc 2.736 1.266 3.619
Sc 1.967 3.798 5.945
```